The following is a DFT calculation (PBE with a Hubbard U) of a geometry-optimized NiP4H16N2O16 structure.

Cell and atoms, written as CIF:
```
data_NiP4H16N2O16
_chemical_formula_sum 'Ni1 P4 H16 N2 O16'
_cell_length_a 7.1513
_cell_length_b 7.3826
_cell_length_c 7.7759
_cell_angle_alpha 98.63
_cell_angle_beta 108.54
_cell_angle_gamma 90.66
_space_group_name_H-M_alt 'P -1'
_space_group_IT_number 2
loop_
_space_group_symop_operation_xyz
'x,y,z'
'-x,-y,-z'
loop_
_atom_site_label
_atom_site_type_symbol
_atom_site_fract_x
_atom_site_fract_y
_atom_site_fract_z
Ni1 Ni 0.0000 0.0000 0.0000
P1 P 0.1652 0.2485 0.7442
P2 P 0.2445 0.7185 0.2589
H1 H 0.1199 0.1969 0.3465
H2 H 0.1213 0.3317 0.2046
H3 H 0.2426 0.4814 0.9805
H4 H 0.3216 0.9001 0.8286
H5 H 0.3498 0.6714 0.8127
H6 H 0.4210 0.7909 0.6724
H7 H 0.4357 0.2258 0.5774
H8 H 0.4491 0.1780 0.0994
N1 N 0.4113 0.7963 0.8039
O1 O 0.0580 0.2162 0.2177
O2 O 0.0698 0.7360 0.3508
O3 O 0.1977 0.1175 0.8842
O4 O 0.2316 0.5214 0.1605
O5 O 0.2371 0.8651 0.1415
O6 O 0.2398 0.1928 0.5839
O7 O 0.2547 0.4462 0.8462
O8 O 0.4266 0.7529 0.4411
```



The following is a DFT calculation (PBE with a Hubbard U) of a geometry-optimized AlGa2MoO structure.

Cell and atoms, written as CIF:
```
data_AlGa2MoO
_chemical_formula_sum 'Al1 Ga2 Mo1 O1'
_cell_length_a 4.4816
_cell_length_b 4.4816
_cell_length_c 4.3092
_cell_angle_alpha 90.00
_cell_angle_beta 90.00
_cell_angle_gamma 90.00
_space_group_name_H-M_alt 'P 4/m m m'
_space_group_IT_number 123
_space_group_name_Hall '-P 4 2'
loop_
_atom_site_label
_atom_site_type_symbol
_atom_site_fract_x
_atom_site_fract_y
_atom_site_fract_z
Al1 Al 0.0000 0.0000 0.0000
Ga1 Ga 0.0000 0.5000 0.5000
Mo1 Mo 0.5000 0.5000 0.0000
O1 O 0.5000 0.5000 0.5000
```



no.,electronic total energy (eV per atom),DOS at the Fermi energy (states/eV/cell),spin magnetization (μB per cell)
1,-5.84,0.0,2.1
2,-4.37,1.9,3.2